Record 1
Crystalline In4I3Cl at its relaxed geometry. Source: the Alexandria database, functional PBE.

Output
raw total energy	-2.71	eV/atom

```
data_In4I3Cl
_cell_length_a 9.704
_cell_length_b 13.772
_cell_length_c 4.880
_cell_angle_alpha 90.00
_cell_angle_beta 90.00
_cell_angle_gamma 90.00
_space_group_name_H-M_alt 'C m m m'
_space_group_IT_number 65
_space_group_name_Hall '-C 2 2'
loop_
_atom_site_label
_atom_site_type_symbol
_atom_site_fract_x
_atom_site_fract_y
_atom_site_fract_z
In1 In 0.000 0.235 0.000
In2 In 0.235 0.000 0.500
I1 I 0.000 0.500 0.000
I2 I 0.250 0.250 0.500
Cl1 Cl 0.000 0.000 0.000
```

=====

Record 2
Crystalline In2ICl2 at its relaxed geometry. Source: the Alexandria database, functional PBE.

Output
raw total energy	-2.74	eV/atom
excess energy over the best structure of this formula in the dataset	44	meV per atom

```
data_In2ICl2
_cell_length_a 4.750
_cell_length_b 4.750
_cell_length_c 12.988
_cell_angle_alpha 90.00
_cell_angle_beta 90.00
_cell_angle_gamma 90.00
_space_group_name_H-M_alt 'I 4/m m m'
_space_group_IT_number 139
_space_group_name_Hall '-I 4 2'
loop_
_atom_site_label
_atom_site_type_symbol
_atom_site_fract_x
_atom_site_fract_y
_atom_site_fract_z
In1 In 0.000 0.000 0.120
I1 I 0.000 0.000 0.500
Cl1 Cl 0.000 0.500 0.250
```

=====

Record 3
Crystalline InICl at its relaxed geometry. Source: the Alexandria database, functional PBE.

Output
raw total energy	-2.73	eV/atom

```
data_InICl
_cell_length_a 5.637
_cell_length_b 6.040
_cell_length_c 7.911
_cell_angle_alpha 95.10
_cell_angle_beta 110.58
_cell_angle_gamma 90.24
_space_group_name_H-M_alt 'P -1'
_space_group_IT_number 2
_space_group_name_Hall '-P 1'
loop_
_atom_site_label
_atom_site_type_symbol
_atom_site_fract_x
_atom_site_fract_y
_atom_site_fract_z
In1 In 0.110 0.343 0.221
I1 I 0.347 0.720 0.690
Cl1 Cl 0.066 0.759 0.134
```

=====

Record 4
Crystalline In6ICl5 at its relaxed geometry. Source: the Alexandria database, functional PBE.

Output
raw total energy	-3.00	eV/atom

```
data_In6ICl5
_cell_length_a 7.822
_cell_length_b 14.331
_cell_length_c 8.008
_cell_angle_alpha 90.00
_cell_angle_beta 111.60
_cell_angle_gamma 90.00
_space_group_name_H-M_alt 'C 1 2/m 1'
_space_group_IT_number 12
_space_group_name_Hall '-C 2y'
loop_
_atom_site_label
_atom_site_type_symbol
_atom_site_fract_x
_atom_site_fract_y
_atom_site_fract_z
In1 In 0.231 0.000 0.260
In2 In 0.233 0.175 0.740
I1 I 0.000 0.500 0.000
Cl1 Cl 0.000 0.000 0.500
Cl2 Cl 0.000 0.188 0.000
Cl3 Cl 0.000 0.357 0.500
```

=====

Record 5
Crystalline In3I2Cl at its relaxed geometry. Source: the Alexandria database, functional PBE.

Output
raw total energy	-2.74	eV/atom
excess energy over the best structure of this formula in the dataset	0	meV per atom

```
data_In3I2Cl
_cell_length_a 4.860
_cell_length_b 4.860
_cell_length_c 20.390
_cell_angle_alpha 90.00
_cell_angle_beta 90.00
_cell_angle_gamma 90.00
_space_group_name_H-M_alt 'I 4/m m m'
_space_group_IT_number 139
_space_group_name_Hall '-I 4 2'
loop_
_atom_site_label
_atom_site_type_symbol
_atom_site_fract_x
_atom_site_fract_y
_atom_site_fract_z
In1 In 0.000 0.000 0.000
In2 In 0.000 0.000 0.344
I1 I 0.000 0.000 0.170
Cl1 Cl 0.000 0.000 0.500
```

=====

Record 6
Crystalline In3I2Cl at its relaxed geometry. Source: the Alexandria database, functional PBE.

Output
raw total energy	-2.73	eV/atom
excess energy over the best structure of this formula in the dataset	10	meV per atom

```
data_In3I2Cl
_cell_length_a 13.864
_cell_length_b 10.708
_cell_length_c 6.755
_cell_angle_alpha 90.00
_cell_angle_beta 90.00
_cell_angle_gamma 90.00
_space_group_name_H-M_alt 'C m c 21'
_space_group_IT_number 36
_space_group_name_Hall 'C 2c -2'
loop_
_atom_site_label
_atom_site_type_symbol
_atom_site_fract_x
_atom_site_fract_y
_atom_site_fract_z
In1 In 0.000 0.164 0.000
In2 In 0.127 0.319 0.604
I1 I 0.190 0.366 0.141
Cl1 Cl 0.000 0.105 0.403
```

=====

Record 7
Crystalline InICl at its relaxed geometry. Source: the Alexandria database, functional PBE.

Output
raw total energy	-2.73	eV/atom

```
data_InICl
_cell_length_a 6.247
_cell_length_b 4.732
_cell_length_c 8.299
_cell_angle_alpha 90.00
_cell_angle_beta 101.29
_cell_angle_gamma 90.00
_space_group_name_H-M_alt 'P 1 2/m 1'
_space_group_IT_number 10
_space_group_name_Hall '-P 2y'
loop_
_atom_site_label
_atom_site_type_symbol
_atom_site_fract_x
_atom_site_fract_y
_atom_site_fract_z
In1 In 0.220 0.000 0.091
I1 I 0.188 0.500 0.302
Cl1 Cl 0.368 0.000 0.804
```

=====

Record 8
Crystalline In15I12Cl5 at its relaxed geometry. Source: the Alexandria database, functional PBE.

Output
raw total energy	-2.64	eV/atom

```
data_In15I12Cl5
_cell_length_a 16.0780
_cell_length_b 16.0780
_cell_length_c 6.3260
_cell_angle_alpha 90.00
_cell_angle_beta 90.00
_cell_angle_gamma 120.00
_space_group_name_H-M_alt 'P -6 2 m'
_space_group_IT_number 189
_space_group_name_Hall 'P -6 -2'
loop_
_atom_site_label
_atom_site_type_symbol
_atom_site_fract_x
_atom_site_fract_y
_atom_site_fract_z
In1 In 0.0000 0.1944 0.0000
In2 In 0.0000 0.4724 0.0000
In3 In 0.0000 0.6824 0.0000
In4 In 0.1610 0.4831 0.5000
I1 I 0.0000 0.2101 0.5000
I2 I 0.0000 0.5756 0.5000
I3 I 0.1899 0.4341 0.0000
Cl1 Cl 0.0000 0.8555 0.0000
Cl2 Cl 0.3333 0.6667 0.5000
```

=====

Record 9
Crystalline In4I4Cl at its relaxed geometry. Source: the Alexandria database, functional PBE.

Output
raw total energy	-2.60	eV/atom

```
data_In4I4Cl
_cell_length_a 15.512
_cell_length_b 4.680
_cell_length_c 11.699
_cell_angle_alpha 90.00
_cell_angle_beta 119.14
_cell_angle_gamma 90.00
_space_group_name_H-M_alt 'C 1 2/m 1'
_space_group_IT_number 12
_space_group_name_Hall '-C 2y'
loop_
_atom_site_label
_atom_site_type_symbol
_atom_site_fract_x
_atom_site_fract_y
_atom_site_fract_z
In1 In 0.083 0.000 0.400
In2 In 0.217 0.500 0.807
I1 I 0.106 0.000 0.895
I2 I 0.192 0.500 0.313
Cl1 Cl 0.000 0.500 0.500
```

=====

Record 10
Crystalline In5ICl6 at its relaxed geometry. Source: the Alexandria database, functional PBE.

Output
raw total energy	-3.01	eV/atom

```
data_In5ICl6
_cell_length_a 9.059
_cell_length_b 11.697
_cell_length_c 7.538
_cell_angle_alpha 90.00
_cell_angle_beta 100.68
_cell_angle_gamma 90.00
_space_group_name_H-M_alt 'C 1 2/m 1'
_space_group_IT_number 12
_space_group_name_Hall '-C 2y'
loop_
_atom_site_label
_atom_site_type_symbol
_atom_site_fract_x
_atom_site_fract_y
_atom_site_fract_z
In1 In 0.000 0.000 0.000
In2 In 0.000 0.212 0.500
In3 In 0.000 0.360 0.000
I1 I 0.000 0.500 0.500
Cl1 Cl 0.159 0.000 0.762
Cl2 Cl 0.169 0.160 0.172
```

=====

Record 11
Crystalline In6I5Cl2 at its relaxed geometry. Source: the Alexandria database, functional PBE.

Output
raw total energy	-2.67	eV/atom

```
data_In6I5Cl2
_cell_length_a 13.379
_cell_length_b 16.671
_cell_length_c 4.432
_cell_angle_alpha 90.00
_cell_angle_beta 90.00
_cell_angle_gamma 90.00
_space_group_name_H-M_alt 'P b a m'
_space_group_IT_number 55
_space_group_name_Hall '-P 2 2ab'
loop_
_atom_site_label
_atom_site_type_symbol
_atom_site_fract_x
_atom_site_fract_y
_atom_site_fract_z
In1 In 0.008 0.111 0.000
In2 In 0.156 0.606 0.000
In3 In 0.178 0.339 0.500
I1 I 0.000 0.500 0.500
I2 I 0.079 0.753 0.500
I3 I 0.172 0.023 0.500
Cl1 Cl 0.171 0.222 0.000
```

=====

Record 12
Crystalline In3I2Cl2 at its relaxed geometry. Source: the Alexandria database, functional PBE.

Output
raw total energy	-2.76	eV/atom

```
data_In3I2Cl2
_cell_length_a 4.499
_cell_length_b 6.979
_cell_length_c 8.843
_cell_angle_alpha 77.84
_cell_angle_beta 89.92
_cell_angle_gamma 71.22
_space_group_name_H-M_alt 'P -1'
_space_group_IT_number 2
_space_group_name_Hall '-P 1'
loop_
_atom_site_label
_atom_site_type_symbol
_atom_site_fract_x
_atom_site_fract_y
_atom_site_fract_z
In1 In 0.000 0.000 0.000
In2 In 0.214 0.573 0.736
I1 I 0.111 0.777 0.343
Cl1 Cl 0.374 0.252 0.062
```

=====

Record 13
Crystalline In5I12Cl3 at its relaxed geometry. Source: the Alexandria database, functional PBE.

Output
raw total energy	-2.16	eV/atom

```
data_In5I12Cl3
_cell_length_a 18.621
_cell_length_b 18.621
_cell_length_c 18.621
_cell_angle_alpha 90.00
_cell_angle_beta 90.00
_cell_angle_gamma 90.00
_space_group_name_H-M_alt 'I a -3 d'
_space_group_IT_number 230
_space_group_name_Hall '-I 4bd 2c 3'
loop_
_atom_site_label
_atom_site_type_symbol
_atom_site_fract_x
_atom_site_fract_y
_atom_site_fract_z
In1 In 0.000 0.000 0.000
In2 In 0.000 0.250 0.375
I1 I 0.037 0.067 0.645
Cl1 Cl 0.000 0.250 0.125
```

=====

Record 14
Crystalline InICl3 at its relaxed geometry. Source: the Alexandria database, functional PBE.

Output
raw total energy	-2.61	eV/atom
excess energy over the best structure of this formula in the dataset	0	meV per atom

```
data_InICl3
_cell_length_a 6.479
_cell_length_b 7.780
_cell_length_c 6.434
_cell_angle_alpha 90.00
_cell_angle_beta 90.00
_cell_angle_gamma 90.00
_space_group_name_H-M_alt 'P m n 21'
_space_group_IT_number 31
_space_group_name_Hall 'P 2ac -2'
loop_
_atom_site_label
_atom_site_type_symbol
_atom_site_fract_x
_atom_site_fract_y
_atom_site_fract_z
In1 In 0.000 0.007 0.000
I1 I 0.000 0.691 0.248
Cl1 Cl 0.000 0.281 0.783
Cl2 Cl 0.249 0.150 0.257
```

=====

Record 15
Crystalline InICl3 at its relaxed geometry. Source: the Alexandria database, functional PBE.

Output
raw total energy	-2.40	eV/atom
excess energy over the best structure of this formula in the dataset	218	meV per atom

```
data_InICl3
_cell_length_a 5.237
_cell_length_b 5.237
_cell_length_c 5.237
_cell_angle_alpha 90.00
_cell_angle_beta 90.00
_cell_angle_gamma 90.00
_space_group_name_H-M_alt 'P m -3 m'
_space_group_IT_number 221
_space_group_name_Hall '-P 4 2 3'
loop_
_atom_site_label
_atom_site_type_symbol
_atom_site_fract_x
_atom_site_fract_y
_atom_site_fract_z
In1 In 0.000 0.000 0.000
I1 I 0.500 0.500 0.500
Cl1 Cl 0.000 0.000 0.500
```

=====

Record 16
Crystalline In2I2Cl at its relaxed geometry. Source: the Alexandria database, functional PBE.

Output
raw total energy	-2.58	eV/atom
excess energy over the best structure of this formula in the dataset	0	meV per atom

```
data_In2I2Cl
_cell_length_a 12.463
_cell_length_b 4.218
_cell_length_c 7.770
_cell_angle_alpha 90.00
_cell_angle_beta 117.40
_cell_angle_gamma 90.00
_space_group_name_H-M_alt 'C 1 2/m 1'
_space_group_IT_number 12
_space_group_name_Hall '-C 2y'
loop_
_atom_site_label
_atom_site_type_symbol
_atom_site_fract_x
_atom_site_fract_y
_atom_site_fract_z
In1 In 0.057 0.000 0.297
I1 I 0.178 0.500 0.668
Cl1 Cl 0.000 0.500 0.000
```

=====

Record 17
Crystalline In2ICl2 at its relaxed geometry. Source: the Alexandria database, functional PBE.

Output
raw total energy	-2.79	eV/atom
excess energy over the best structure of this formula in the dataset	0	meV per atom

```
data_In2ICl2
_cell_length_a 19.954
_cell_length_b 3.985
_cell_length_c 4.351
_cell_angle_alpha 90.00
_cell_angle_beta 102.51
_cell_angle_gamma 90.00
_space_group_name_H-M_alt 'C 1 m 1'
_space_group_IT_number 8
_space_group_name_Hall 'C -2y'
loop_
_atom_site_label
_atom_site_type_symbol
_atom_site_fract_x
_atom_site_fract_y
_atom_site_fract_z
In1 In 0.000 0.000 0.000
In2 In 0.233 0.000 0.228
I1 I 0.432 0.000 0.433
Cl1 Cl 0.101 0.500 0.100
Cl2 Cl 0.272 0.500 0.770
```

=====

Record 18
Crystalline In2ICl2 at its relaxed geometry. Source: the Alexandria database, functional PBE.

Output
raw total energy	-2.78	eV/atom
excess energy over the best structure of this formula in the dataset	9	meV per atom

```
data_In2ICl2
_cell_length_a 5.350
_cell_length_b 7.957
_cell_length_c 9.288
_cell_angle_alpha 84.75
_cell_angle_beta 73.38
_cell_angle_gamma 70.51
_space_group_name_H-M_alt 'P -1'
_space_group_IT_number 2
_space_group_name_Hall '-P 1'
loop_
_atom_site_label
_atom_site_type_symbol
_atom_site_fract_x
_atom_site_fract_y
_atom_site_fract_z
In1 In 0.005 0.491 0.249
In2 In 0.244 0.009 0.249
I1 I 0.376 0.749 0.750
Cl1 Cl 0.044 0.750 0.412
Cl2 Cl 0.293 0.251 0.911
```

=====

Record 19
Crystalline In4I3Cl at its relaxed geometry. Source: the Alexandria database, functional PBE.

Output
raw total energy	-2.71	eV/atom

```
data_In4I3Cl
_cell_length_a 13.781
_cell_length_b 6.987
_cell_length_c 6.978
_cell_angle_alpha 90.00
_cell_angle_beta 90.00
_cell_angle_gamma 90.00
_space_group_name_H-M_alt 'P m n 21'
_space_group_IT_number 31
_space_group_name_Hall 'P 2ac -2'
loop_
_atom_site_label
_atom_site_type_symbol
_atom_site_fract_x
_atom_site_fract_y
_atom_site_fract_z
In1 In 0.000 0.225 0.000
In2 In 0.000 0.759 0.536
In3 In 0.237 0.749 0.008
I1 I 0.000 0.248 0.505
I2 I 0.250 0.239 0.011
Cl1 Cl 0.000 0.802 0.962
```